# TcBPt2Rh

Crystalline TcBPt2Rh at its relaxed geometry (GGA-PBE, the Alexandria database).

The value obtained for the density of states at the Fermi level is 6.942 states/eV/cell. The formation energy comes out at 1415 meV per atom. The theoretical density is 11.0 g/cm³. The calculation puts the total magnetization at 0.00 μB per cell.

The space group is P4/mmm (No. 123) and the conventional cell measures 4.782, 4.782 and 3.962 Å, with angles of 90.00, 90.00 and 90.00 degrees. The asymmetric unit holds Tc at (0.000, 0.000, 0.000), B at (0.000, 0.000, 0.500), Pt at (0.000, 0.500, 0.000) and Rh at (0.500, 0.500, 0.500).